(1)
A relaxed CeNbCrC3 crystal. Source: Alexandria via LeMat-Bulk, functional PBE.

The formation energy comes out at -0.078 eV per atom. Its crystal system is monoclinic.

a = 7.0162 Å, b = 3.3251 Å, c = 7.4884 Å
α = 90.00°, β = 103.75°, γ = 90.00°
Atoms (fractional coordinates):
Ce1 0.1858 0.2500 0.1981
Ce2 0.8142 0.7500 0.8019
Nb1 0.3532 0.7500 0.8585
Nb2 0.6468 0.2500 0.1415
Cr1 0.1002 0.2500 0.6059
Cr2 0.8998 0.7500 0.3941
C1 0.1191 0.2500 0.8571
C2 0.1783 0.7500 0.5241
C3 0.4345 0.7500 0.1525
C4 0.5655 0.2500 0.8475
C5 0.8217 0.2500 0.4759
C6 0.8809 0.7500 0.1429

---

(2)
A relaxed AlNiRh2 crystal. Source: Alexandria via LeMat-Bulk, functional PBE.

The formation energy comes out at -0.400 eV per atom. Its crystal system is orthorhombic.

a = 2.9258 Å, b = 4.2236 Å, c = 8.5857 Å
α = 90.00°, β = 90.00°, γ = 90.00°
Atoms (fractional coordinates):
Al1 0.0000 0.0000 0.0000
Al2 0.5000 0.5000 0.5000
Ni1 0.0000 0.5000 0.7277
Ni2 0.5000 0.0000 0.2277
Rh1 0.0000 0.0000 0.4876
Rh2 0.0000 0.5000 0.2582
Rh3 0.5000 0.0000 0.7582
Rh4 0.5000 0.5000 0.9876

---

The ρ results, record by record, are as follows: 6.28, 9.12 Mg/m³.
The total DFT energy (no corrections) results, record by record, are as follows: -107.53, -51.65 eV/cell.